AcVCl (PBE-GGA, optimized geometry); E_form (uncorrected) = -34.90 kJ/mol of atoms; density of states at the Fermi level = 1.833 states/eV/f.u.; size of the total moment = 4.5 Bohr magnetons per cell
1.0
-1.900 -5.456 -2.612
0.821 -2.078 -3.951
12.581 -10.825 5.764
Ac Cl V
4 4 4
Cartesian
8.048 -8.906 1.206
0.872 -3.818 -0.354
9.809 -12.462 3.506
4.404 -6.725 -0.698
6.103 -10.240 -2.288
4.449 -10.847 0.183
-0.006 -2.382 -2.715
-1.073 -5.152 -3.847
8.357 -12.387 0.558
2.195 -8.699 -2.662
9.500 -8.981 4.154
1.181 -7.299 -1.002